First-principles (GGA-PBE) data for a geometry-optimized NaTlAg2 structure, as listed in Alexandria via LeMat-Bulk.

Computed properties:
* density of states at the Fermi level: 1.2 states/eV/cell
* energy of formation: 0.02 eV/atom
* VASP energy: -2.32 eV per atom
* density: 8.4 g/cm³

a b c (Å): 4.5579 4.5579 4.2126
angles (deg): 90.00 90.00 90.00
Closest atoms and distances in Å follow each position.
Space group P4/mmm (No. 123)
Inequivalent atoms, fractional coordinates:
1 Na 0.0000 0.0000 0.0000 [1 per cell]  8 Ag 3.10, 4 Tl 3.22
2 Tl 0.5000 0.5000 0.0000 [1 per cell]  8 Ag 3.10, 4 Na 3.22
3 Ag 0.0000 0.5000 0.5000 [2 per cell]  4 Tl 3.10, 4 Na 3.10, 4 Ag 3.22